1.
Material: ZrCuRe
Method: DFT, SCAN
State: single point on PBEsol structure

Output
**ΔE_f**: 0.41 eV/f.u.
**Size of the total moment**: 0.0 μB/cell

abc: 2.747 3.736 9.250
angles: 90.00 90.00 90.00
Atoms (fractional coordinates):
Zr 0.000 0.000 0.000
Zr 0.500 0.500 0.500
Cu 0.000 0.000 0.686
Cu 0.500 0.500 0.186
Re 0.000 0.000 0.315
Re 0.500 0.500 0.815

2.
Material: Cu3Rh
Method: DFT, SCAN
State: single point on PBEsol structure

Output
**ΔE_f**: 0.24 eV/f.u.
**Size of the total moment**: 0.6 μB/cell

abc: 2.575 3.555 5.229
angles: 90.00 90.00 90.00
Atoms (fractional coordinates):
Cu 0.000 0.000 0.000
Cu 0.500 0.500 0.241
Cu 0.500 0.500 0.759
Rh 0.000 0.000 0.500

3.
Material: Cu5Rh
Method: DFT, SCAN
State: single point on PBEsol structure

Output
**ΔE_f**: 0.22 eV/f.u.
**Size of the total moment**: 1.1 μB/cell

abc: 9.470 2.560 6.058
angles: 90.00 105.91 90.00
Atoms (fractional coordinates):
Cu 0.000 0.000 0.000
Cu 0.052 0.000 0.617
Cu 0.162 0.500 0.340
Cu 0.216 0.500 0.939
Cu 0.330 0.000 0.673
Cu 0.500 0.500 0.000
Cu 0.552 0.500 0.617
Cu 0.662 0.000 0.340
Cu 0.716 0.000 0.939
Cu 0.830 0.500 0.673
Rh 0.383 0.000 0.276
Rh 0.883 0.500 0.276

4.
Material: Cu5Rh
Method: DFT, SCAN
State: single point on PBEsol structure

Output
**ΔE_f**: 0.27 eV/f.u.
**Size of the total moment**: 0.0 μB/cell

abc: 2.564 2.564 10.717
angles: 90.00 90.00 90.00
Atoms (fractional coordinates):
Cu 0.000 0.000 0.000
Cu 0.000 0.000 0.324
Cu 0.000 0.000 0.676
Cu 0.500 0.500 0.162
Cu 0.500 0.500 0.838
Rh 0.500 0.500 0.500

5.
Material: Cu5Rh
Method: DFT, SCAN
State: single point on PBEsol structure

Output
**ΔE_f**: 0.27 eV/f.u.
**Size of the total moment**: 0.0 μB/cell

abc: 4.183 2.584 13.076
angles: 90.00 90.00 90.00
Atoms (fractional coordinates):
Cu 0.000 0.000 0.000
Cu 0.000 0.000 0.330
Cu 0.000 0.000 0.666
Cu 0.000 0.500 0.166
Cu 0.000 0.500 0.500
Cu 0.000 0.500 0.830
Cu 0.500 0.000 0.117
Cu 0.500 0.000 0.778
Cu 0.500 0.500 0.278
Cu 0.500 0.500 0.617
Rh 0.500 0.000 0.449
Rh 0.500 0.500 0.949

6.
Material: Cu2Rh
Method: DFT, SCAN
State: single point on PBEsol structure

Output
**Energy above the most stable polymorph in this dataset**: 82 meV/atom
**ΔE_f**: 0.36 eV/f.u.
**Size of the total moment**: 0.5 μB/cell

abc: 4.130 4.130 2.488
angles: 90.00 90.00 120.00
Atoms (fractional coordinates):
Cu 0.333 0.667 0.000
Cu 0.667 0.333 0.000
Rh 0.000 0.000 0.500